No. 1
# CdInNiSn2 (GGA-PBE, relaxed)
data_CdInNiSn2
_space_group_name_H-M_alt 'P 4/m m m'
_space_group_IT_number 123
_space_group_name_Hall '-P 4 2'
_cell_length_a 5.020
_cell_length_b 5.020
_cell_length_c 5.048
_cell_angle_alpha 90.00
_cell_angle_beta 90.00
_cell_angle_gamma 90.00
loop_
_atom_site_label
_atom_site_fract_x
_atom_site_fract_y
_atom_site_fract_z
_atom_site_occupancy
Cd1 0.000 0.000 0.000 1
In1 0.500 0.500 0.000 1
Ni1 0.500 0.500 0.500 1
Sn1 0.000 0.500 0.500 1
# Relative energy among the computed polymorphs   0.044 eV/f.u.
# Energy of formation   0.05 eV/atom

=====

No. 2
# CdInNiSn2 (GGA-PBE, relaxed)
data_CdInNiSn2
_space_group_name_H-M_alt 'P 4/m m m'
_space_group_IT_number 123
_space_group_name_Hall '-P 4 2'
_cell_length_a 4.977
_cell_length_b 4.977
_cell_length_c 5.101
_cell_angle_alpha 90.00
_cell_angle_beta 90.00
_cell_angle_gamma 90.00
loop_
_atom_site_label
_atom_site_fract_x
_atom_site_fract_y
_atom_site_fract_z
_atom_site_occupancy
Cd1 0.000 0.000 0.000 1
In1 0.500 0.500 0.000 1
Ni1 0.000 0.000 0.500 1
Sn1 0.000 0.500 0.500 1
# Relative energy among the computed polymorphs   0.000 eV/f.u.
# Energy of formation   0.05 eV/atom

=====

No. 3
# Cd2InNiSn (GGA-PBE, relaxed)
data_Cd2InNiSn
_space_group_name_H-M_alt 'P 4/m m m'
_space_group_IT_number 123
_space_group_name_Hall '-P 4 2'
_cell_length_a 5.083
_cell_length_b 5.083
_cell_length_c 4.841
_cell_angle_alpha 90.00
_cell_angle_beta 90.00
_cell_angle_gamma 90.00
loop_
_atom_site_label
_atom_site_fract_x
_atom_site_fract_y
_atom_site_fract_z
_atom_site_occupancy
Cd1 0.000 0.500 0.000 1
In1 0.000 0.000 0.500 1
Ni1 0.500 0.500 0.000 1
Sn1 0.500 0.500 0.500 1
# Energy of formation   0.06 eV/atom

=====

No. 4
# SrCd2InNi (GGA-PBE, relaxed)
data_SrCd2InNi
_space_group_name_H-M_alt 'P 4/m m m'
_space_group_IT_number 123
_space_group_name_Hall '-P 4 2'
_cell_length_a 5.087
_cell_length_b 5.087
_cell_length_c 4.964
_cell_angle_alpha 90.00
_cell_angle_beta 90.00
_cell_angle_gamma 90.00
loop_
_atom_site_label
_atom_site_fract_x
_atom_site_fract_y
_atom_site_fract_z
_atom_site_occupancy
Sr1 0.000 0.000 0.000 1
Cd1 0.000 0.500 0.500 1
In1 0.500 0.500 0.000 1
Ni1 0.500 0.500 0.500 1
# Energy of formation   -0.20 eV/atom

=====

No. 5
# SrCdIn2Ni (GGA-PBE, relaxed)
data_SrCdIn2Ni
_space_group_name_H-M_alt 'P 4/m m m'
_space_group_IT_number 123
_space_group_name_Hall '-P 4 2'
_cell_length_a 5.018
_cell_length_b 5.018
_cell_length_c 5.102
_cell_angle_alpha 90.00
_cell_angle_beta 90.00
_cell_angle_gamma 90.00
loop_
_atom_site_label
_atom_site_fract_x
_atom_site_fract_y
_atom_site_fract_z
_atom_site_occupancy
Sr1 0.000 0.000 0.000 1
Cd1 0.500 0.500 0.000 1
In1 0.000 0.500 0.500 1
Ni1 0.500 0.500 0.500 1
# Relative energy among the computed polymorphs   0.000 eV/f.u.
# Energy of formation   -0.23 eV/atom

=====

No. 6
# Sr2Cd6InNi (GGA-PBE, relaxed)
data_Sr2Cd6InNi
_space_group_name_H-M_alt 'P m m n'
_space_group_IT_number 59
_cell_length_a 7.720
_cell_length_b 9.857
_cell_length_c 7.214
_cell_angle_alpha 90.00
_cell_angle_beta 90.00
_cell_angle_gamma 90.00
loop_
_space_group_symop_operation_xyz
'x,y,z'
'-x,-y,-z'
'-x+1/2,-y+1/2,z'
'x+1/2,y+1/2,-z'
'x+1/2,-y,-z'
'-x+1/2,y,z'
'-x,y+1/2,-z'
'x,-y+1/2,z'
loop_
_atom_site_label
_atom_site_fract_x
_atom_site_fract_y
_atom_site_fract_z
_atom_site_occupancy
Sr1 0.250 0.035 0.228 1
Cd1 0.053 0.250 0.867 1
Cd2 0.064 0.750 0.533 1
Cd3 0.250 0.005 0.705 1
In1 0.250 0.750 0.914 1
Ni1 0.250 0.250 0.567 1
# Energy of formation   -0.17 eV/atom

=====

| no. | D(E_F) (states/eV/f.u.) |
| --- | --- |
| 1 | 2.40 |
| 2 | 1.12 |
| 3 | 1.92 |
| 4 | 2.82 |
| 5 | 3.68 |
| 6 | 5.45 |